# 1
{"formula": "LiTl2Ni", "functional": "GGA-PBE", "state": "optimized geometry", "lattice_angstrom": [[-2.819, 1.506, 0.906], [-0.922, -2.831, 1.836], [2.986, 2.432, 5.248]], "species": ["Li", "Ni", "Tl", "Tl"], "fractional_positions": [[0.500, 0.500, 0.250], [0.500, 0.500, 0.750], [0.000, 0.000, 0.986], [0.000, 0.000, 0.514]], "space_group": "Pmmm", "volume_a3_per_atom": 18.9, "energy_ry_per_atom": -0.225, "ef_ev_per_fu": 0.18, "total_magnetization_mub_per_cell": 0.000}

=====

# 2
{"formula": "Tb3Nd2Tm5", "functional": "GGA-PBE", "state": "optimized geometry", "lattice_angstrom": [[8.384, 1.648, -3.939], [0.360, 8.468, -4.004], [-1.785, -1.949, 10.778]], "species": ["Tb", "Tb", "Tb", "Tb", "Tb", "Tb", "Nd", "Nd", "Nd", "Nd", "Tm", "Tm", "Tm", "Tm", "Tm", "Tm", "Tm", "Tm", "Tm", "Tm"], "fractional_positions": [[0.227, 0.977, 0.955], [0.773, 0.023, 0.045], [0.721, 0.488, 0.258], [0.279, 0.512, 0.742], [0.037, 0.770, 0.258], [0.963, 0.230, 0.742], [0.768, 0.032, 0.752], [0.232, 0.968, 0.248], [0.484, 0.719, 0.752], [0.516, 0.281, 0.248], [0.268, 0.518, 0.036], [0.732, 0.482, 0.964], [0.027, 0.777, 0.554], [0.522, 0.272, 0.544], [0.973, 0.223, 0.446], [0.478, 0.728, 0.456], [0.886, 0.630, 0.736], [0.114, 0.370, 0.264], [0.349, 0.105, 0.736], [0.651, 0.895, 0.264]], "space_group": "C2/c", "volume_a3_per_atom": 32.4, "energy_ry_per_atom": -0.322, "ef_ev_per_fu": 1.92, "total_magnetization_mub_per_cell": 0.000}

=====

# 3
{"formula": "FePt2Pb", "functional": "GGA-PBE", "state": "optimized geometry", "lattice_angstrom": [[-1.598, 0.432, -3.852], [-1.866, -2.444, 0.500], [-4.139, 3.438, 2.102]], "species": ["Fe", "Pb", "Pt", "Pt"], "fractional_positions": [[0.000, 0.616, 0.371], [0.500, 0.634, 0.781], [0.000, 0.131, 0.012], [0.500, 0.119, 0.336]], "space_group": "Pm", "volume_a3_per_atom": 18.9, "energy_ry_per_atom": -0.438, "ef_ev_per_fu": 0.40, "total_magnetization_mub_per_cell": 3.791}